# 1
{"formula": "RbAlV2B", "functional": "PBE", "state": "relaxed", "ef_ev_per_atom": 3.27, "lattice_angstrom": [[5.183, 0.000, 0.000], [0.000, 5.646, 0.000], [0.000, 0.000, 5.183]], "species": ["B", "Al", "Rb", "V", "V"], "fractional_positions": [[0.500, 0.500, 0.500], [0.000, 0.500, 0.000], [0.000, 0.000, 0.000], [0.000, 0.000, 0.500], [0.500, 0.000, 0.000]]}

=====

# 2
{"formula": "TaI2Br", "functional": "PBE", "state": "relaxed", "e_form_raw_ev_per_atom": 0.601, "lattice_angstrom": [[0.000, 3.713, 3.713], [3.713, 0.000, 3.713], [3.713, 3.713, 0.000]], "species": ["I", "I", "Br", "Ta"], "fractional_positions": [[0.250, 0.250, 0.250], [0.750, 0.750, 0.750], [0.000, 0.000, 0.000], [0.500, 0.500, 0.500]]}

=====

# 3
{"formula": "PuPaGeOs", "functional": "PBE", "state": "relaxed", "ef_ev_per_atom": -0.40, "lattice_angstrom": [[3.986, 0.000, 0.000], [0.000, 3.971, 0.000], [-1.993, 0.000, 5.557]], "species": ["Pu", "Pa", "Ge", "Os"], "fractional_positions": [[0.151, 0.000, 0.301], [0.866, 0.500, 0.731], [0.575, 0.500, 0.149], [0.409, 0.000, 0.818]]}

=====

# 4
{"formula": "SbSI2", "functional": "PBE", "state": "relaxed", "e_form_raw_ev_per_atom": -0.027, "lattice_angstrom": [[-1.865, -2.633, 4.441], [-3.279, -4.175, -3.852], [8.415, -6.378, -0.249]], "species": ["Sb", "Sb", "S", "S", "I", "I", "I", "I"], "fractional_positions": [[0.000, 0.468, 0.698], [0.000, 0.532, 0.198], [0.000, 0.724, 0.385], [0.000, 0.276, 0.885], [0.500, 0.618, 0.094], [0.500, 0.382, 0.594], [0.000, 0.118, 0.289], [0.000, 0.882, 0.789]]}

=====

# 5
{"formula": "GdLuRu", "functional": "PBE", "state": "relaxed", "ef_ev_per_atom": -0.30, "lattice_angstrom": [[4.752, 0.000, 0.000], [2.376, 4.115, 0.000], [2.376, 1.372, 3.880]], "species": ["Gd", "Ru", "Lu"], "fractional_positions": [[0.500, 0.500, 0.500], [0.250, 0.250, 0.250], [0.000, 0.000, 0.000]]}

=====

Summary of calculated density in Mg/m³
2.465; 8.347; 13.931; 3.560; 9.485
(order as listed above)
Summary of E_tot in eV per atom
-2.652; -3.555; -10.324; -2.864; -9.592
(order as listed above)